5
Lattice="4.978 0.000 0.000 0.000 4.978 0.000 0.000 0.000 4.978" Properties=species:S:1:pos:R:3 comment="PBE BPb3W, optimized geometry" relative_energy_ev_per_atom=0.015 e_form_ev_per_atom=1.569 e_tot_ry_per_atom=-0.337 pbc="T T T"
B 0.000 0.000 0.000
Pb 0.000 0.000 2.489
Pb 0.000 2.489 0.000
Pb 2.489 0.000 0.000
W 2.489 2.489 2.489